1:
The following is a DFT calculation (PBE) of PmBC after structural relaxation.

Output
Magnetic moment (μB/cell): 0.000
Space group: P-1 (2)

a = 3.778 Å, b = 3.760 Å, c = 6.907 Å
α = 73.90°, β = 82.70°, γ = 89.96°
Sites, in units of the cell vectors:
C 0.671 0.370 0.276
C 0.262 0.046 0.931
B 0.351 0.155 0.714
B 0.581 0.261 0.493
Pm 0.773 0.561 0.902
Pm 0.159 0.855 0.305

---

2:
The following is a DFT calculation (PBE) of PmBC after structural relaxation.

Output
Magnetic moment (μB/cell): 0.000
Space group: Pnma (62)

a = 3.094 Å, b = 5.455 Å, c = 9.175 Å
α = 90.00°, β = 90.00°, γ = 90.00°
Sites, in units of the cell vectors:
Pm 0.250 0.652 0.148
Pm 0.750 0.848 0.648
Pm 0.750 0.348 0.852
Pm 0.250 0.152 0.352
B 0.250 0.957 0.922
B 0.750 0.543 0.422
B 0.750 0.043 0.078
B 0.250 0.457 0.578
C 0.250 0.167 0.061
C 0.250 0.667 0.439
C 0.750 0.333 0.561
C 0.750 0.833 0.939

---

The least stable of them is 2.